# WC, relaxed, DFT PBE
# E_form   0.74 eV per atom
# Calculated volume   26.2 Å³/cell
data_WC
_chemical_formula_sum 'W1 C1'
_space_group_name_H-M_alt 'P 1'
_space_group_IT_number 1
_cell_length_a 2.9480
_cell_length_b 2.9480
_cell_length_c 3.0091
_cell_angle_alpha 90.00
_cell_angle_beta 90.00
_cell_angle_gamma 90.00
loop_
_space_group_symop_operation_xyz
'x,y,z'
loop_
_atom_site_label
_atom_site_type_symbol
_atom_site_fract_x
_atom_site_fract_y
_atom_site_fract_z
W1 W 0.0000 0.0000 0.0000
C1 C 0.5000 0.5000 0.0000